[1]
Compound: CaMg2Tl
Source: the Alexandria database
Functional: SCAN
Structure: PBEsol geometry

Cell lengths 5.1855, 5.1855, 5.1855 Å; angles 60.00, 60.00, 60.00 degrees
Sites, in units of the cell vectors:
Ca 0.0000 0.0000 0.0000
Mg 0.5000 0.5000 0.5000
Mg 0.7500 0.7500 0.7500
Tl 0.2500 0.2500 0.2500

Results
ΔH_f (0 K), eV/atom: -0.287
E, eV/atom: -23.28
Relative energy among the computed polymorphs, meV/atom: 0

=====

[2]
Compound: La3Tc
Source: the Alexandria database
Functional: SCAN
Structure: PBEsol geometry

Cell lengths 7.2342, 9.8411, 6.5032 Å; angles 90.00, 90.00, 90.00 degrees
Sites, in units of the cell vectors:
La 0.0615 0.2500 0.1340
La 0.1686 0.0658 0.6682
La 0.1686 0.4342 0.6682
La 0.3314 0.5658 0.1682
La 0.3314 0.9342 0.1682
La 0.4385 0.7500 0.6340
La 0.5615 0.2500 0.3660
La 0.6686 0.0658 0.8318
La 0.6686 0.4342 0.8318
La 0.8314 0.5658 0.3318
La 0.8314 0.9342 0.3318
La 0.9385 0.7500 0.8660
Tc 0.1213 0.7500 0.4569
Tc 0.3787 0.2500 0.9569
Tc 0.6213 0.7500 0.0431
Tc 0.8787 0.2500 0.5431

Results
ΔH_f (0 K), eV/atom: -0.053
E, eV/atom: -41.15

=====

[3]
Compound: LiCdSb2
Source: the Alexandria database
Functional: SCAN
Structure: PBEsol geometry

Cell lengths 5.1243, 5.1243, 5.1243 Å; angles 60.00, 60.00, 60.00 degrees
Sites, in units of the cell vectors:
Li 0.0000 0.0000 0.0000
Cd 0.7500 0.7500 0.7500
Sb 0.2500 0.2500 0.2500
Sb 0.5000 0.5000 0.5000

Results
Formation energy without anion corrections, meV per atom: 9.4
E, eV/atom: -26.82